No. 1
Y4MnFe | PBE | optimized geometry

The value obtained for the calculated volume is 27.890 Å³ per atom. The calculation puts the theoretical density at 4.628 g/cm³. The value obtained for the total energy is -6.3066 eV per atom. The value obtained for the energy of formation from the pure elements is 0.942 eV/atom. The calculation puts the size of the total moment at 6.89 μB/f.u.

The space group is F-43m (No. 216) and the conventional cell measures 8.748, 8.748 and 8.748 Å, with angles of 90.00, 90.00 and 90.00 degrees. Symmetry generates all atoms from Y at (0.125, 0.125, 0.125), Mn at (0.000, 0.000, 0.500) and Fe at (0.250, 0.250, 0.750).

No. 2
Y2MnFe | PBE | optimized geometry

The value obtained for the calculated volume is 22.519 Å³ per atom. The calculation puts the theoretical density at 5.320 g/cm³. The value obtained for the total energy is -7.6225 eV per atom. The value obtained for the energy of formation from the pure elements is 0.018 eV/atom. The calculation puts the size of the total moment at 0.00 μB/f.u.

The space group is R3m (No. 160, hexagonal axes) and the conventional cell measures 3.7279, 3.7279 and 22.4527 Å, with angles of 90.00, 90.00 and 120.00 degrees. Symmetry generates all atoms from Y at (0.0000, 0.0000, 0.0000), Y at (0.0000, 0.0000, 0.1864), Mn at (0.0000, 0.0000, 0.4324) and Fe at (0.0000, 0.0000, 0.7533).

No. 3
Y2Mn2Fe15 | PBE | optimized geometry

The value obtained for the calculated volume is 12.883 Å³ per atom. The calculation puts the theoretical density at 7.634 g/cm³. The value obtained for the total energy is -8.3151 eV per atom. The value obtained for the energy of formation from the pure elements is 0.012 eV/atom. The calculation puts the size of the total moment at 20.46 μB/f.u.

The space group is R-3m (No. 166, hexagonal axes) and the conventional cell measures 8.2975, 8.2975 and 12.3162 Å, with angles of 90.00, 90.00 and 120.00 degrees. Symmetry generates all atoms from Y at (0.0000, 0.0000, 0.1545), Mn at (0.0000, 0.0000, 0.4087), Fe at (0.0000, 0.2987, 0.5000), Fe at (0.0000, 0.5000, 0.0000) and Fe at (0.0053, 0.5026, 0.3403).

No. 4
Y2MnFe2 | PBE | optimized geometry

The value obtained for the calculated volume is 19.820 Å³ per atom. The calculation puts the theoretical density at 5.772 g/cm³. The value obtained for the total energy is -7.0190 eV per atom. The value obtained for the energy of formation from the pure elements is 0.786 eV/atom. The calculation puts the size of the total moment at 4.44 μB/f.u.

The space group is P4/mbm (No. 127) and the conventional cell measures 7.701, 7.701 and 3.342 Å, with angles of 90.00, 90.00 and 90.00 degrees. Symmetry generates all atoms from Y at (0.187, 0.313, 0.000), Mn at (0.000, 0.000, 0.000) and Fe at (0.104, 0.604, 0.500).

No. 5
YMn4Fe | PBE | optimized geometry

The value obtained for the calculated volume is 13.831 Å³ per atom. The calculation puts the theoretical density at 7.293 g/cm³. The value obtained for the total energy is -8.3289 eV per atom. The value obtained for the energy of formation from the pure elements is 0.272 eV/atom. The calculation puts the size of the total moment at 5.95 μB/f.u.

The space group is F-43m (No. 216) and the conventional cell measures 6.924, 6.924 and 6.924 Å, with angles of 90.00, 90.00 and 90.00 degrees. Symmetry generates all atoms from Y at (0.000, 0.000, 0.000), Mn at (0.124, 0.124, 0.376) and Fe at (0.250, 0.250, 0.750).

No. 6
Y2Mn2Fe | PBE | optimized geometry

The value obtained for the calculated volume is 17.641 Å³ per atom. The calculation puts the theoretical density at 6.467 g/cm³. The value obtained for the total energy is -7.6459 eV per atom. The value obtained for the energy of formation from the pure elements is 0.300 eV/atom. The calculation puts the size of the total moment at 1.25 μB/f.u.

The space group is P4/mbm (No. 127) and the conventional cell measures 6.213, 6.213 and 4.570 Å, with angles of 90.00, 90.00 and 90.00 degrees. Symmetry generates all atoms from Y at (0.183, 0.317, 0.000), Mn at (0.121, 0.621, 0.500) and Fe at (0.000, 0.000, 0.500).

No. 7
Y2MnFe | PBE | optimized geometry

The value obtained for the calculated volume is 20.586 Å³ per atom. The calculation puts the theoretical density at 5.820 g/cm³. The value obtained for the total energy is -7.4744 eV per atom. The value obtained for the energy of formation from the pure elements is 0.166 eV/atom. The calculation puts the size of the total moment at 3.44 μB/f.u.

The space group is Imm2 (No. 44) and the conventional cell measures 3.407, 4.588 and 10.537 Å, with angles of 90.00, 90.00 and 90.00 degrees. Symmetry generates all atoms from Y at (0.000, 0.000, 0.000), Y at (0.000, 0.500, 0.220), Mn at (0.000, 0.000, 0.424) and Fe at (0.000, 0.500, 0.770).

No. 8
YMn17Fe | PBE | optimized geometry

The value obtained for the calculated volume is 12.086 Å³ per atom. The calculation puts the theoretical density at 7.800 g/cm³. The value obtained for the total energy is -8.8323 eV per atom. The value obtained for the energy of formation from the pure elements is 0.158 eV/atom. The calculation puts the size of the total moment at 0.39 μB/f.u.

The space group is R3m (No. 160, hexagonal axes) and the conventional cell measures 8.0383, 8.0383 and 12.3112 Å, with angles of 90.00, 90.00 and 120.00 degrees. Symmetry generates all atoms from Y at (0.0000, 0.0000, 0.0000), Mn at (0.0000, 0.0000, 0.5744), Mn at (0.0000, 0.0000, 0.7523), Mn at (0.0008, 0.5004, 0.1650), Mn at (0.0356, 0.3514, 0.3243), Mn at (0.1715, 0.3431, 0.8345), Mn at (0.1737, 0.3474, 0.1419) and Fe at (0.0000, 0.0000, 0.3311).